P) A relaxed structure of TiGaNi3, computed with PBE-GGA.

abc: 4.3611 4.3611 4.3611
angles: 90.00 90.00 90.00
With the nearest neighbours (Å) after each atom.
Positions (direct):
1 Ti 0.0000 0.0000 0.0000  6 Ni 2.18
2 Ga 0.5000 0.5000 0.5000  12 Ni 3.08
3 Ni 0.0000 0.0000 0.5000  2 Ti 2.18
4 Ni 0.0000 0.5000 0.0000  2 Ti 2.18
5 Ni 0.5000 0.0000 0.0000  2 Ti 2.18

---

Q) A relaxed structure of TiGaNi3, computed with PBE-GGA.

abc: 5.7868 5.7868 4.7333
angles: 90.00 90.00 119.92
With the nearest neighbours (Å) after each atom.
Positions (direct):
1 Ti 0.1664 0.8336 0.7500  12 Ni 2.72-2.92
2 Ti 0.8336 0.1664 0.2500  12 Ni 2.72-2.92
3 Ga 0.5000 0.5000 0.0000  6 Ni 2.33, 2 Ga 2.37
4 Ga 0.5000 0.5000 0.5000  6 Ni 2.33, 2 Ga 2.37
5 Ni 0.0993 0.2992 0.7500  2 Ni 2.31, 2 Ga 2.33
6 Ni 0.2992 0.0993 0.2500  2 Ni 2.31, 2 Ga 2.33
7 Ni 0.2995 0.7005 0.2500  2 Ni 2.31, 2 Ga 2.33
8 Ni 0.7005 0.2995 0.7500  2 Ni 2.31, 2 Ga 2.33
9 Ni 0.7008 0.9007 0.7500  2 Ni 2.31, 2 Ga 2.33
10 Ni 0.9007 0.7008 0.2500  2 Ni 2.31, 2 Ga 2.33

---

R) A relaxed structure of TiGaNi3, computed with PBE-GGA.

abc: 6.2627 6.2627 4.5800
angles: 90.00 90.00 119.89
With the nearest neighbours (Å) after each atom.
Positions (direct):
1 Ti 0.1945 0.8055 0.7500  8 Ni 2.39-2.59
2 Ti 0.8055 0.1945 0.2500  8 Ni 2.39-2.59
3 Ga 0.4514 0.5486 0.7500  2 Ni 2.39, 2 Ga 2.52
4 Ga 0.5486 0.4514 0.2500  2 Ni 2.39, 2 Ga 2.52
5 Ni 0.0000 0.0000 0.0000  6 Ni 2.29-2.53, 2 Ti 2.40
6 Ni 0.0000 0.0000 0.5000  6 Ni 2.29-2.53, 2 Ti 2.40
7 Ni 0.0134 0.3666 0.7500  3 Ni 2.38-2.53, 1 Ga 2.39, 3 Ti 2.39-2.59
8 Ni 0.3666 0.0134 0.2500  3 Ni 2.38-2.53, 1 Ga 2.39, 3 Ti 2.39-2.59
9 Ni 0.6334 0.9866 0.7500  3 Ni 2.38-2.53, 1 Ga 2.39, 3 Ti 2.39-2.59
10 Ni 0.9866 0.6334 0.2500  3 Ni 2.38-2.53, 1 Ga 2.39, 3 Ti 2.39-2.59

---

The least stable of them is P).

---

P) A relaxed structure of Ti5Ga4Ni, computed with PBE-GGA.

abc: 2.8110 2.8110 19.3481
angles: 90.00 90.00 90.00
With the nearest neighbours (Å) after each atom.
Positions (direct):
1 Ti 0.0000 0.0000 0.0000  4 Ti 2.81, 8 Ga 2.82
2 Ti 0.0000 0.0000 0.2059  4 Ti 2.81, 8 Ga 2.81
3 Ti 0.0000 0.0000 0.4113  4 Ni 2.63, 4 Ga 2.81, 4 Ti 2.81
4 Ti 0.0000 0.0000 0.5887  4 Ni 2.63, 4 Ga 2.81, 4 Ti 2.81
5 Ti 0.0000 0.0000 0.7941  4 Ti 2.81, 8 Ga 2.81
6 Ga 0.5000 0.5000 0.1031  4 Ga 2.81, 8 Ti 2.81-2.82
7 Ga 0.5000 0.5000 0.3089  8 Ti 2.81, 4 Ga 2.81
8 Ga 0.5000 0.5000 0.6911  8 Ti 2.81, 4 Ga 2.81
9 Ga 0.5000 0.5000 0.8969  4 Ga 2.81, 8 Ti 2.81-2.82
10 Ni 0.5000 0.5000 0.5000  8 Ti 2.63, 4 Ni 2.81

---

Q) A relaxed structure of Ti5Ga4Ni, computed with PBE-GGA.

abc: 6.1801 6.1801 6.1801
angles: 100.75 100.75 128.84
With the nearest neighbours (Å) after each atom.
Positions (direct):
1 Ti 0.0000 0.0000 0.0000  1 Ni 2.35
2 Ti 0.1370 0.8823 0.6144  5 Ga 2.62-2.80, 1 Ti 2.79, 1 Ni 2.87
3 Ti 0.2679 0.5226 0.3856  5 Ga 2.62-2.80, 1 Ti 2.79, 1 Ni 2.87
4 Ti 0.5226 0.1370 0.2547  5 Ga 2.62-2.80, 1 Ti 2.79, 1 Ni 2.87
5 Ti 0.8823 0.2679 0.7453  5 Ga 2.62-2.80, 1 Ti 2.79, 1 Ni 2.87
6 Ga 0.4482 0.7877 0.8527  1 Ni 2.46, 5 Ti 2.62-2.71
7 Ga 0.5955 0.4482 0.6605  1 Ni 2.46, 5 Ti 2.62-2.71
8 Ga 0.7877 0.9350 0.3395  1 Ni 2.46, 5 Ti 2.62-2.71
9 Ga 0.9350 0.5955 0.1473  1 Ni 2.46, 5 Ti 2.62-2.71
10 Ni 0.4398 0.4398 0.0000  1 Ti 2.35, 4 Ga 2.46

---

The least stable of them is Q).

---

P) A relaxed structure of TiGaNi5, computed with PBE-GGA.

abc: 4.1217 4.1217 5.3353
angles: 90.00 90.00 90.00
With the nearest neighbours (Å) after each atom.
Positions (direct):
1 Ti 0.0000 0.0000 0.0000  10 Ni 2.45-2.67
2 Ga 0.5000 0.5000 0.5000  8 Ni 2.46
3 Ni 0.0000 0.0000 0.5000  8 Ni 2.46, 2 Ti 2.67
4 Ni 0.0000 0.5000 0.2474  2 Ti 2.45, 4 Ni 2.46-2.70, 2 Ga 2.46
5 Ni 0.0000 0.5000 0.7526  2 Ti 2.45, 4 Ni 2.46-2.70, 2 Ga 2.46
6 Ni 0.5000 0.0000 0.2474  2 Ti 2.45, 4 Ni 2.46-2.70, 2 Ga 2.46
7 Ni 0.5000 0.0000 0.7526  2 Ti 2.45, 4 Ni 2.46-2.70, 2 Ga 2.46

---

Q) A relaxed structure of TiGaNi5, computed with PBE-GGA.

abc: 6.0018 6.0018 6.0659
angles: 107.73 107.73 91.03
With the nearest neighbours (Å) after each atom.
Positions (direct):
1 Ti 0.0240 0.9760 0.7500  7 Ni 2.37-2.59
2 Ti 0.9760 0.0240 0.2500  7 Ni 2.37-2.59
3 Ga 0.5000 0.5000 0.0000  2 Ni 2.28
4 Ga 0.5000 0.5000 0.5000  2 Ni 2.28
5 Ni 0.0399 0.3560 0.6342  5 Ni 2.35-2.51, 2 Ti 2.48-2.59
6 Ni 0.1114 0.6735 0.0355  6 Ni 2.31-2.50, 1 Ti 2.41
7 Ni 0.3006 0.6994 0.7500  2 Ga 2.28, 6 Ni 2.35-2.51, 1 Ti 2.37
8 Ni 0.3265 0.8886 0.4645  6 Ni 2.31-2.50, 1 Ti 2.41
9 Ni 0.3560 0.0399 0.1342  5 Ni 2.35-2.51, 2 Ti 2.48-2.59
10 Ni 0.6440 0.9601 0.8658  5 Ni 2.35-2.51, 2 Ti 2.48-2.59
11 Ni 0.6735 0.1114 0.5355  6 Ni 2.31-2.50, 1 Ti 2.41
12 Ni 0.6994 0.3006 0.2500  2 Ga 2.28, 6 Ni 2.35-2.51, 1 Ti 2.37
13 Ni 0.8886 0.3265 0.9645  6 Ni 2.31-2.50, 1 Ti 2.41
14 Ni 0.9601 0.6440 0.3658  5 Ni 2.35-2.51, 2 Ti 2.48-2.59

---

The least stable of them is Q).

---

P) A relaxed structure of Ti2GaNi3, computed with PBE-GGA.

abc: 4.1392 12.5687 3.0735
angles: 90.00 90.00 90.00
With the nearest neighbours (Å) after each atom.
Positions (direct):
1 Ti 0.0000 0.1616 0.0000  8 Ni 2.52-2.59
2 Ti 0.0000 0.8384 0.0000  8 Ni 2.52-2.59
3 Ti 0.5000 0.3384 0.0000  8 Ni 2.52-2.59
4 Ti 0.5000 0.6616 0.0000  8 Ni 2.52-2.59
5 Ga 0.0000 0.5000 0.0000  8 Ni 2.58-2.73
6 Ga 0.5000 0.0000 0.0000  8 Ni 2.58-2.73
7 Ni 0.0000 0.0000 0.5000  4 Ti 2.55, 4 Ga 2.58
8 Ni 0.0000 0.3201 0.5000  6 Ti 2.52-2.59, 2 Ni 2.72, 2 Ga 2.73
9 Ni 0.0000 0.6799 0.5000  6 Ti 2.52-2.59, 2 Ni 2.72, 2 Ga 2.73
10 Ni 0.5000 0.1799 0.5000  6 Ti 2.52-2.59, 2 Ni 2.72, 2 Ga 2.73
11 Ni 0.5000 0.5000 0.5000  4 Ti 2.55, 4 Ga 2.58
12 Ni 0.5000 0.8201 0.5000  6 Ti 2.52-2.59, 2 Ni 2.72, 2 Ga 2.73

---

Q) A relaxed structure of Ti2GaNi3, computed with PBE-GGA.

abc: 5.6562 5.6562 5.1141
angles: 90.00 90.00 88.48
With the nearest neighbours (Å) after each atom.
Positions (direct):
1 Ti 0.0535 0.6066 0.7500  6 Ni 2.53-2.58, 1 Ga 2.68, 1 Ti 2.75
2 Ti 0.3934 0.9465 0.7500  6 Ni 2.53-2.58, 1 Ga 2.68, 1 Ti 2.75
3 Ti 0.6066 0.0535 0.2500  6 Ni 2.53-2.58, 1 Ga 2.68, 1 Ti 2.75
4 Ti 0.9465 0.3934 0.2500  6 Ni 2.53-2.58, 1 Ga 2.68, 1 Ti 2.75
5 Ga 0.2752 0.7248 0.2500  6 Ni 2.52-2.54, 2 Ti 2.68
6 Ga 0.7248 0.2752 0.7500  6 Ni 2.52-2.54, 2 Ti 2.68
7 Ni 0.0000 0.0000 0.0000  2 Ga 2.52, 4 Ni 2.56-2.75, 4 Ti 2.58
8 Ni 0.0000 0.0000 0.5000  2 Ga 2.52, 4 Ni 2.56-2.75, 4 Ti 2.58
9 Ni 0.3397 0.3397 0.0000  4 Ti 2.53-2.58, 2 Ga 2.54, 4 Ni 2.56-2.75
10 Ni 0.3397 0.3397 0.5000  4 Ti 2.53-2.58, 2 Ga 2.54, 4 Ni 2.56-2.75
11 Ni 0.6603 0.6603 0.0000  4 Ti 2.53-2.58, 2 Ga 2.54, 4 Ni 2.56-2.75
12 Ni 0.6603 0.6603 0.5000  4 Ti 2.53-2.58, 2 Ga 2.54, 4 Ni 2.56-2.75

---

The least stable of them is Q).

---

P) A relaxed structure of Ti2Ga4Ni, computed with PBE-GGA.

abc: 6.3077 6.3077 5.7534
angles: 90.00 90.00 90.00
With the nearest neighbours (Å) after each atom.
Positions (direct):
1 Ti 0.0000 0.5000 0.2500  8 Ga 2.67, 2 Ti 2.88
2 Ti 0.0000 0.5000 0.7500  8 Ga 2.67, 2 Ti 2.88
3 Ti 0.5000 0.0000 0.2500  8 Ga 2.67, 2 Ti 2.88
4 Ti 0.5000 0.0000 0.7500  8 Ga 2.67, 2 Ti 2.88
5 Ga 0.2202 0.2202 0.0000  1 Ni 2.50, 4 Ti 2.67, 2 Ga 2.78
6 Ga 0.2202 0.7798 0.0000  1 Ni 2.50, 4 Ti 2.67, 2 Ga 2.78
7 Ga 0.2798 0.2798 0.5000  1 Ni 2.50, 4 Ti 2.67, 2 Ga 2.78
8 Ga 0.2798 0.7202 0.5000  1 Ni 2.50, 4 Ti 2.67, 2 Ga 2.78
9 Ga 0.7202 0.2798 0.5000  1 Ni 2.50, 4 Ti 2.67, 2 Ga 2.78
10 Ga 0.7202 0.7202 0.5000  1 Ni 2.50, 4 Ti 2.67, 2 Ga 2.78
11 Ga 0.7798 0.2202 0.0000  1 Ni 2.50, 4 Ti 2.67, 2 Ga 2.78
12 Ga 0.7798 0.7798 0.0000  1 Ni 2.50, 4 Ti 2.67, 2 Ga 2.78
13 Ni 0.0000 0.0000 0.5000  4 Ga 2.50
14 Ni 0.5000 0.5000 0.0000  4 Ga 2.50

---

Q) A relaxed structure of Ti2Ga4Ni, computed with PBE-GGA.

abc: 4.5116 4.5116 12.8850
angles: 90.00 90.00 90.00
With the nearest neighbours (Å) after each atom.
Positions (direct):
1 Ti 0.0000 0.0000 0.1121  5 Ga 2.61-2.68, 1 Ti 2.89
2 Ti 0.0000 0.0000 0.8879  5 Ga 2.61-2.68, 1 Ti 2.89
3 Ti 0.5000 0.5000 0.3879  5 Ga 2.61-2.68, 1 Ti 2.89
4 Ti 0.5000 0.5000 0.6121  5 Ga 2.61-2.68, 1 Ti 2.89
5 Ga 0.0000 0.0000 0.3144  1 Ni 2.39, 1 Ti 2.61
6 Ga 0.0000 0.0000 0.6856  1 Ni 2.39, 1 Ti 2.61
7 Ga 0.0000 0.5000 0.0000  2 Ni 2.26
8 Ga 0.0000 0.5000 0.5000  2 Ni 2.26
9 Ga 0.5000 0.0000 0.0000  2 Ni 2.26
10 Ga 0.5000 0.0000 0.5000  2 Ni 2.26
11 Ga 0.5000 0.5000 0.1856  1 Ni 2.39, 1 Ti 2.61
12 Ga 0.5000 0.5000 0.8144  1 Ni 2.39, 1 Ti 2.61
13 Ni 0.0000 0.0000 0.5000  6 Ga 2.26-2.39
14 Ni 0.5000 0.5000 0.0000  6 Ga 2.26-2.39

---

The least stable of them is Q).